[1]
6
Lattice="2.969 0.000 0.000 0.000 2.969 0.000 0.000 0.000 10.636" Properties=species:S:1:pos:R:3 comment="Zn2HgPd3, optimized geometry, DFT PBE" vol_a3_per_cell=93.8 crystal_system=tetragonal dft_energy_ev_per_atom=-3.507 formation_energy_ev_per_fu=-2.61 pbc="T T T"
Zn 1.485 1.485 8.983
Zn 1.485 1.485 1.653
Hg 1.485 1.485 5.318
Pd 0.000 0.000 0.000
Pd 0.000 0.000 7.388
Pd 0.000 0.000 3.249



[2]
8
Lattice="-1.908 -2.367 0.106 2.300 -1.818 0.814 -2.780 2.883 14.293" Properties=species:S:1:pos:R:3 comment="ZnHg3Pd4, optimized geometry, DFT PBE" vol_a3_per_cell=137.4 crystal_system=tetragonal dft_energy_ev_per_atom=-3.128 formation_energy_ev_per_fu=-2.08 pbc="T T T"
Zn 0.196 -2.092 0.460
Hg -0.467 -1.405 3.868
Hg -1.194 -0.651 7.607
Hg -1.921 0.103 11.345
Pd -2.491 2.583 12.808
Pd -0.289 0.300 1.485
Pd -1.027 1.064 5.278
Pd -1.754 1.818 9.015



[3]
8
Lattice="-4.023 -0.225 -5.294 -0.995 -2.402 6.124 1.602 4.607 4.524" Properties=species:S:1:pos:R:3 comment="Zr3HgPd4, optimized geometry, DFT PBE" vol_a3_per_cell=157.9 crystal_system=orthorhombic dft_energy_ev_per_atom=-6.230 formation_energy_ev_per_fu=-3.12 de_polymorph_ev_per_atom=0.1473 pbc="T T T"
Zr -1.575 3.583 1.815
Zr -0.500 0.905 -0.159
Zr -2.839 0.204 3.222
Hg -3.010 -0.407 0.256
Pd -0.063 2.488 7.495
Pd -0.328 1.523 2.836
Pd -1.487 1.333 5.378
Pd -2.931 2.459 -0.342



[4]
10
Lattice="8.310 0.000 0.000 0.000 8.310 0.000 0.000 0.000 3.202" Properties=species:S:1:pos:R:3 comment="Zr2Hg2Pd, optimized geometry, DFT PBE" vol_a3_per_cell=221.1 crystal_system=tetragonal dft_energy_ev_per_atom=-4.431 formation_energy_ev_per_fu=0.74 de_polymorph_ev_per_atom=0.2708 pbc="T T T"
Zr 2.719 6.874 0.000
Zr 6.874 5.591 0.000
Zr 5.591 1.436 0.000
Zr 1.436 2.719 0.000
Hg 1.054 5.209 1.601
Hg 5.209 7.257 1.601
Hg 7.257 3.102 1.601
Hg 3.102 1.054 1.601
Pd 0.000 0.000 0.000
Pd 4.155 4.155 0.000